[1]
Compound: YTcB
Source: the Alexandria database
Functional: PBE
Structure: optimized geometry

The calculation puts the energy of formation from the pure elements at -0.2060 eV per atom. Its distance to the lowest polymorph of the same formula is 0 meV/atom.

It has space group P-6m2 (No. 187), with a = 3.7377 Å, b = 3.7377 Å, c = 4.1297 Å, α = 90.00°, β = 90.00° and γ = 120.00°. The inequivalent atoms are Y at (0.0000, 0.0000, 0.0000), Tc at (0.6667, 0.3333, 0.5000) and B at (0.3333, 0.6667, 0.5000).

***

[2]
Compound: Pr3NdPt2
Source: the Alexandria database
Functional: PBE
Structure: optimized geometry

The calculation puts the energy of formation from the pure elements at -0.7882 eV per atom. Its distance to the lowest polymorph of the same formula is 0 meV/atom.

It has space group Pmc2_1 (No. 26), with a = 4.9632 Å, b = 9.1973 Å, c = 7.4305 Å, α = 90.00°, β = 90.00° and γ = 90.00°. The inequivalent atoms are Pr at (0.0000, 0.0845, 0.0000), Pr at (0.0000, 0.3390, 0.3600), Pr at (0.5000, 0.1625, 0.6489), Nd at (0.5000, 0.4154, 0.0092), Pt at (0.0000, 0.3386, 0.7639) and Pt at (0.5000, 0.1634, 0.2457).

***

[3]
Compound: Mn3Sn5S12
Source: the Alexandria database
Functional: PBE
Structure: optimized geometry

As for the uncorrected formation energy: -0.22 eV per atom.

It has space group Ia-3d (No. 230), with a = 15.5416 Å, b = 15.5416 Å, c = 15.5416 Å, α = 90.00°, β = 90.00° and γ = 90.00°. The inequivalent atoms are Mn at (0.0000, 0.2500, 0.1250), Sn at (0.0000, 0.0000, 0.0000), Sn at (0.0000, 0.2500, 0.3750) and S at (0.0196, 0.0682, 0.6564).

***

[4]
Compound: NiHgBr2
Source: the Alexandria database
Functional: PBE
Structure: optimized geometry

Its distance to the lowest polymorph of the same formula is 0 meV/atom. As for the uncorrected formation energy: -0.24 eV per atom.

It has space group C2/m (No. 12), with a = 6.3693 Å, b = 3.6745 Å, c = 10.1431 Å, α = 90.00°, β = 101.37° and γ = 90.00°. The inequivalent atoms are Ni at (0.0000, 0.0000, 0.0000), Hg at (0.0000, 0.5000, 0.5000) and Br at (0.2110, 0.5000, 0.1414).

***

Ordered total magnetic moment results: 0.00, 0.00, 113.90, 3.99; unit μB/cell.
Ordered electronic total energy results: -8.042, -5.986, -5.068, -2.595; unit eV per atom.